(1)
Entry from the Alexandria database: crystalline ThGa2Pt at its relaxed geometry (PBE-GGA).

crystal system: orthorhombic
symmetry: Immm
formation energy: -0.87 eV/atom

a = 4.439 Å, b = 9.179 Å, c = 9.608 Å
α = 118.54°, β = 103.36°, γ = 90.00°
Element x y z (fractional)
1 Th 0.709 0.709 0.418
2 Th 0.500 0.275 0.000
3 Th 0.500 0.725 0.000
4 Th 0.291 0.291 0.582
5 Ga 0.925 0.425 0.850
6 Ga 0.692 0.339 0.384
7 Ga 0.692 0.045 0.384
8 Ga 0.308 0.661 0.616
9 Ga 0.079 0.079 0.159
10 Ga 0.075 0.575 0.150
11 Ga 0.921 0.921 0.841
12 Ga 0.308 0.955 0.616
13 Pt 0.855 0.601 0.710
14 Pt 0.145 0.399 0.290
15 Pt 0.145 0.892 0.290
16 Pt 0.855 0.108 0.710



(2)
Entry from the Alexandria database: crystalline ThGa2Pt at its relaxed geometry (PBE-GGA).

crystal system: trigonal
symmetry: R-3m
formation energy: -0.51 eV/atom

a = 4.979 Å, b = 4.979 Å, c = 4.730 Å
α = 58.25°, β = 58.25°, γ = 60.00°
Element x y z (fractional)
1 Ga 0.237 0.237 0.288
2 Ga 0.763 0.763 0.712
3 Pt 0.000 0.000 0.000
4 Th 0.500 0.500 0.500



(3)
Entry from the Alexandria database: crystalline Th2Ga8Pt at its relaxed geometry (PBE-GGA).

crystal system: tetragonal
symmetry: P4/mmm
formation energy: -0.54 eV/atom

a = 4.452 Å, b = 4.452 Å, c = 11.388 Å
α = 90.00°, β = 90.00°, γ = 90.00°
Element x y z (fractional)
1 Pt 0.000 0.000 0.000
2 Ga 0.000 0.500 0.500
3 Ga 0.500 0.000 0.500
4 Ga 0.500 0.500 0.301
5 Ga 0.500 0.500 0.699
6 Ga 0.000 0.500 0.122
7 Ga 0.500 0.000 0.122
8 Ga 0.000 0.500 0.878
9 Ga 0.500 0.000 0.878
10 Th 0.000 0.000 0.308
11 Th 0.000 0.000 0.692



(4)
Entry from the Alexandria database: crystalline Th2Ga12Pt at its relaxed geometry (PBE-GGA).

crystal system: tetragonal
symmetry: P4/nbm
formation energy: -0.42 eV/atom

a = 6.176 Å, b = 6.176 Å, c = 15.406 Å
α = 90.00°, β = 90.00°, γ = 90.00°
Element x y z (fractional)
1 Th 0.500 0.000 0.246
2 Th 0.000 0.500 0.246
3 Th 0.000 0.500 0.754
4 Th 0.500 0.000 0.754
5 Ga 0.500 0.500 0.815
6 Ga 0.000 0.000 0.815
7 Ga 0.751 0.749 0.910
8 Ga 0.251 0.751 0.910
9 Ga 0.000 0.000 0.344
10 Ga 0.249 0.749 0.090
11 Ga 0.830 0.330 0.571
12 Ga 0.500 0.500 0.344
13 Ga 0.249 0.251 0.910
14 Ga 0.749 0.751 0.090
15 Ga 0.330 0.170 0.571
16 Ga 0.670 0.170 0.429
17 Ga 0.000 0.000 0.656
18 Ga 0.170 0.330 0.429
19 Ga 0.251 0.249 0.090
20 Ga 0.830 0.670 0.429
21 Ga 0.670 0.830 0.571
22 Ga 0.000 0.000 0.185
23 Ga 0.170 0.670 0.571
24 Ga 0.500 0.500 0.656
25 Ga 0.749 0.249 0.910
26 Ga 0.500 0.500 0.185
27 Ga 0.330 0.830 0.429
28 Ga 0.751 0.251 0.090
29 Pt 0.500 0.000 0.000
30 Pt 0.000 0.500 0.000



Q: formation energy of number 3 (Th2Ga8Pt)?
A: -0.54 eV/atom



Repeat the second record exactly.
Entry from the Alexandria database: crystalline ThGa2Pt at its relaxed geometry (PBE-GGA).

crystal system: trigonal
symmetry: R-3m
formation energy: -0.51 eV/atom

a = 4.979 Å, b = 4.979 Å, c = 4.730 Å
α = 58.25°, β = 58.25°, γ = 60.00°
Element x y z (fractional)
1 Ga 0.237 0.237 0.288
2 Ga 0.763 0.763 0.712
3 Pt 0.000 0.000 0.000
4 Th 0.500 0.500 0.500



Q: Among the records above, which one has the highest formation energy?
A: Th2Ga12Pt



Please write out number 1 again, unchanged.
Entry from the Alexandria database: crystalline ThGa2Pt at its relaxed geometry (PBE-GGA).

crystal system: orthorhombic
symmetry: Immm
formation energy: -0.87 eV/atom

a = 4.439 Å, b = 9.179 Å, c = 9.608 Å
α = 118.54°, β = 103.36°, γ = 90.00°
Element x y z (fractional)
1 Th 0.709 0.709 0.418
2 Th 0.500 0.275 0.000
3 Th 0.500 0.725 0.000
4 Th 0.291 0.291 0.582
5 Ga 0.925 0.425 0.850
6 Ga 0.692 0.339 0.384
7 Ga 0.692 0.045 0.384
8 Ga 0.308 0.661 0.616
9 Ga 0.079 0.079 0.159
10 Ga 0.075 0.575 0.150
11 Ga 0.921 0.921 0.841
12 Ga 0.308 0.955 0.616
13 Pt 0.855 0.601 0.710
14 Pt 0.145 0.399 0.290
15 Pt 0.145 0.892 0.290
16 Pt 0.855 0.108 0.710